BAsPCl2 | PBE | relaxed

As for the formation energy without anion corrections: 1.152 eV/atom.

The space group is P4/mmm (No. 123) and the conventional cell measures 4.9638, 4.9638 and 4.9439 Å, with angles of 90.00, 90.00 and 90.00 degrees. The asymmetric unit holds B at (0.0000, 0.0000, 0.0000), As at (0.5000, 0.5000, 0.5000), P at (0.5000, 0.5000, 0.0000) and Cl at (0.0000, 0.5000, 0.5000).